No. 1
Computed, not measured: Ir2WAu after structural relaxation at the PBE level of DFT.

Unit cell a=3.814 b=4.046 c=4.046 alpha=90.00 beta=90.00 gamma=90.00
Atoms (fractional coordinates):
Au: 0.500 0.000 0.500
Ir: 0.000 0.000 0.000
Ir: 0.000 0.500 0.500
W: 0.500 0.500 0.000

Summary:
Raw total energy (eV/atom): -8.26
Energy of formation (eV per atom): 0.23
Theoretical density (g/cm³): 20.35
Energy above the lowest structure with this stoichiometry (meV per atom): 273


No. 2
Computed, not measured: IrWAu2 after structural relaxation at the PBE level of DFT.

Unit cell a=3.969 b=2.851 c=6.503 alpha=64.09 beta=90.00 gamma=90.00
Atoms (fractional coordinates):
Au: 0.000 0.004 0.997
Au: 0.500 0.251 0.251
Ir: 0.000 0.470 0.529
W: 0.500 0.775 0.724

Summary:
Raw total energy (eV/atom): -6.93
Energy of formation (eV per atom): 0.16
Theoretical density (g/cm³): 19.32
Energy above the lowest structure with this stoichiometry (meV per atom): 105


No. 3
Computed, not measured: IrWAu2 after structural relaxation at the PBE level of DFT.

Unit cell a=2.772 b=2.772 c=9.789 alpha=90.00 beta=90.00 gamma=117.21
Atoms (fractional coordinates):
Au: 0.000 0.000 0.000
Au: 0.000 0.000 0.500
Ir: 0.500 0.500 0.250
W: 0.500 0.500 0.750

Summary:
Raw total energy (eV/atom): -6.59
Energy of formation (eV per atom): 0.50
Theoretical density (g/cm³): 19.11
Energy above the lowest structure with this stoichiometry (meV per atom): 446


No. 4
Computed, not measured: Ir2W2Au after structural relaxation at the PBE level of DFT.

Unit cell a=3.864 b=3.864 c=6.583 alpha=72.93 beta=72.93 gamma=90.00
Atoms (fractional coordinates):
Ir: 0.750 0.250 0.500
Ir: 0.250 0.750 0.500
Au: 0.000 0.000 0.000
W: 0.392 0.392 0.216
W: 0.608 0.608 0.784

Summary:
Raw total energy (eV/atom): -8.93
Energy of formation (eV per atom): 0.45
Theoretical density (g/cm³): 17.62
Energy above the lowest structure with this stoichiometry (meV per atom): 459